Record 1
Here is Np2VC after structural relaxation from Alexandria. Energies are from PBE-GGA.

```
Np2VC
1.0
4.826 0.000 0.000
2.413 4.180 0.000
2.413 1.393 3.027
V C Np
1 1 2
Direct
0.500 0.500 0.500
0.000 0.000 0.000
0.242 0.242 0.275
0.758 0.758 0.725
```

Summary:
- E (eV per atom) = -10.16
- N(E_F) (states/eV per cell) = 8.73
- V (Å³/cell) = 61
- theoretical density (g/cm³) = 14.60
- crystal system = trigonal

---

Record 2
Here is Ce2Pr5Rh4 after structural relaxation from Alexandria. Energies are from PBE-GGA.

```
Ce2Pr5Rh4
1.0
3.651 0.000 0.000
0.000 7.211 0.640
-1.826 -1.045 11.998
Rh Pr Ce
4 5 2
Direct
0.667 0.527 0.333
0.979 0.308 0.958
0.333 0.473 0.667
0.021 0.692 0.042
0.134 0.838 0.268
0.866 0.162 0.732
0.771 0.723 0.543
0.229 0.277 0.457
0.500 0.000 0.000
0.915 0.623 0.831
0.085 0.377 0.169
```

Summary:
- E (eV per atom) = -6.23
- N(E_F) (states/eV per cell) = 17.63
- V (Å³/cell) = 318
- theoretical density (g/cm³) = 7.28
- crystal system = monoclinic

---

Record 3
Here is RbHgTe2 after structural relaxation from Alexandria. Energies are from PBE-GGA.

```
RbHgTe2
1.0
-3.743 6.329 -1.291
-1.772 -2.430 -6.776
-8.942 -3.633 8.112
Te Rb Hg
8 4 4
Direct
0.736 0.425 0.552
0.756 0.945 0.321
0.244 0.055 0.679
0.244 0.445 0.821
0.756 0.555 0.179
0.264 0.925 0.052
0.736 0.075 0.948
0.264 0.575 0.448
0.263 0.454 0.123
0.263 0.046 0.377
0.737 0.954 0.623
0.737 0.546 0.877
0.090 0.989 0.866
0.910 0.011 0.134
0.090 0.511 0.634
0.910 0.489 0.366
```

Summary:
- E (eV per atom) = -2.36
- uncorrected formation energy (kcal/mol of atoms) = -10.97
- V (Å³/cell) = 660
- theoretical density (g/cm³) = 5.45
- crystal system = monoclinic

---

Record 4
Here is HfInSi after structural relaxation from Alexandria. Energies are from PBE-GGA.

```
HfInSi
1.0
3.585 0.000 0.000
0.000 3.635 0.000
-0.019 -1.808 10.058
Hf Si In
2 2 2
Direct
0.999 0.176 0.849
0.001 0.824 0.151
0.500 0.288 0.077
0.500 0.712 0.923
0.495 0.584 0.644
0.505 0.416 0.356
```

Summary:
- E (eV per atom) = -6.32
- uncorrected formation energy (kcal/mol of atoms) = -6.45
- ΔE to the lowest computed polymorph (meV/atom) = 20
- N(E_F) (states/eV per cell) = 2.54
- V (Å³/cell) = 131
- theoretical density (g/cm³) = 8.14
- crystal system = triclinic